1.
## ZnGeSe2S (PBE)

Data for ZnGeSe2S after structural relaxation.

a b c (Å): 4.7813 4.7813 5.1601
angles (deg): 90.00 90.00 90.00
With the nearest neighbours (Å) after each atom.
Space group P4/mmm (No. 123)
Asymmetric unit:
Zn1 0.0000 0.0000 0.0000 x1  4 Se 2.39, 2 Ge 2.58
Ge1 0.0000 0.0000 0.5000 x1  2 Zn 2.58
Se1 0.0000 0.5000 0.0000 x2  2 Zn 2.39
S1 0.5000 0.5000 0.5000 x1  4 Ge 3.38, 8 Se 3.52

Output
Formation energy without anion corrections   16.1 kcal/mol of atoms
DOS at the Fermi energy   5.64 states/eV per cell
Calculated density   4.62 Mg/m³
Offset from the most stable computed form   323 meV per atom
Crystal system   tetragonal



2.
## YCuC (PBE)

Data for YCuC after structural relaxation.

a b c (Å): 3.6874 4.9600 5.2574
angles (deg): 90.00 109.88 90.00
With the nearest neighbours (Å) after each atom.
Space group P2_1/m (No. 11)
Asymmetric unit:
Y1 0.1384 0.2500 0.2832 x2  3 C 2.48-2.77, 1 Cu 2.71
Cu1 0.4192 0.2500 0.8309 x2  2 C 1.94
C1 0.1400 0.7500 0.2903 x2  2 Cu 1.94

Output
Formation energy from the elements   -0.033 eV per atom
DOS at the Fermi energy   2.48 states/eV per cell
Calculated density   6.04 Mg/m³
Crystal system   monoclinic



3.
## Dy3Al9Os2 (PBE)

Data for Dy3Al9Os2 after structural relaxation.

a b c (Å): 4.3304 9.5433 12.4171
angles (deg): 90.00 90.00 90.00
With the nearest neighbours (Å) after each atom.
Space group Immm (No. 71)
Asymmetric unit:
Dy1 0.0000 0.0000 0.0000 x2  12 Al 3.13-3.14
Dy2 0.0000 0.0000 0.2964 x4  2 Os 3.01, 10 Al 3.13-3.33
Al1 0.0000 0.2841 0.1266 x8  4 Al 2.58-2.88, 2 Os 2.71
Al2 0.0000 0.3605 0.3513 x8  4 Al 2.58-2.88, 1 Os 2.59
Al3 0.0000 0.5000 0.0000 x2  4 Al 2.59, 4 Os 2.71
Os1 0.0000 0.1709 0.5000 x4  8 Al 2.59-2.71

Output
Formation energy from the elements   -0.516 eV per atom
DOS at the Fermi energy   9.76 states/eV per cell
Calculated density   7.19 Mg/m³
Crystal system   orthorhombic



4.
## VOsRh4 (PBE)

Data for VOsRh4 after structural relaxation.

a b c (Å): 5.1866 7.3652 5.1976
angles (deg): 90.00 117.95 90.00
With the nearest neighbours (Å) after each atom.
Space group C2/m (No. 12)
Asymmetric unit:
V1 0.0000 0.0000 0.0000 x2  8 Rh 2.63-2.64, 2 Os 2.68
Os1 0.0000 0.5000 0.5000 x2  8 Rh 2.63-2.65, 2 V 2.68
Rh1 0.2488 0.3096 0.2489 x8  2 Os 2.63-2.65, 2 V 2.63-2.64, 7 Rh 2.66-2.80

Output
Formation energy from the elements   0.014 eV per atom
DOS at the Fermi energy   14.63 states/eV per cell
Calculated density   12.36 Mg/m³
Crystal system   monoclinic



5.
## KTa2IF (PBE)

Data for KTa2IF after structural relaxation.

a b c (Å): 4.4054 4.4054 6.2619
angles (deg): 90.00 90.00 90.00
With the nearest neighbours (Å) after each atom.
Space group P4/mmm (No. 123)
Asymmetric unit:
K1 0.0000 0.0000 0.0000 x1  4 I 3.12, 2 F 3.13
Ta1 0.0000 0.5000 0.5000 x2  2 F 2.20
I1 0.5000 0.5000 0.0000 x1  4 K 3.12
F1 0.0000 0.0000 0.5000 x1  4 Ta 2.20

Output
Formation energy without anion corrections   11.9 kcal/mol of atoms
DOS at the Fermi energy   3.44 states/eV per cell
Calculated density   7.47 Mg/m³
Crystal system   tetragonal



6.
## ScInSn2 (PBE)

Data for ScInSn2 after structural relaxation.

a b c (Å): 4.7330 4.7330 23.6917
angles (deg): 90.00 90.00 120.00
With the nearest neighbours (Å) after each atom.
Space group R-3m (No. 166, hexagonal axes)
Asymmetric unit:
Sc1 0.0000 0.0000 0.0000 x3  6 Sn 2.94
In1 0.0000 0.0000 0.5000 x3  2 Sn 2.85
Sn1 0.0000 0.0000 0.3796 x6  1 In 2.85, 3 Sc 2.94

Output
Formation energy from the elements   0.260 eV per atom
DOS at the Fermi energy   12.87 states/eV per cell
Calculated density   4.30 Mg/m³
Crystal system   trigonal



7.
## Ba3Ce2ZrAs6 (PBE)

Data for Ba3Ce2ZrAs6 after structural relaxation.

a b c (Å): 7.4781 12.9534 7.8464
angles (deg): 90.00 108.53 90.00
With the nearest neighbours (Å) after each atom.
Space group C2/m (No. 12)
Asymmetric unit:
Ba1 0.0000 0.0000 0.0000 x2  6 As 3.30-3.40
Ba2 0.0000 0.3323 0.0000 x4  6 As 3.30-3.39
Ce1 0.0000 0.1664 0.5000 x4  6 As 2.95
Zr1 0.0000 0.5000 0.5000 x2  6 As 2.83-2.84
As1 0.2281 0.3393 0.7023 x8  1 Zr 2.83, 2 Ce 2.95
As2 0.2466 0.0000 0.7032 x4  1 Zr 2.84, 2 Ce 2.95

Output
Formation energy from the elements   -1.193 eV per atom
Calculated density   5.68 Mg/m³
Crystal system   monoclinic



8.
## Ba2ZrCuTc (PBE)

Data for Ba2ZrCuTc after structural relaxation.

a b c (Å): 6.5471 6.5471 4.6416
angles (deg): 90.00 90.00 90.00
With the nearest neighbours (Å) after each atom.
Space group P4/mmm (No. 123)
Asymmetric unit:
Ba1 0.0000 0.5000 0.0000 x2  2 Zr 3.27
Zr1 0.0000 0.0000 0.0000 x1  2 Tc 2.32
Cu1 0.5000 0.5000 0.5000 x1  8 Ba 4.01
Tc1 0.0000 0.0000 0.5000 x1  2 Zr 2.32

Output
Formation energy from the elements   1.041 eV per atom
DOS at the Fermi energy   5.24 states/eV per cell
Calculated density   4.40 Mg/m³
Crystal system   tetragonal